1.
This record from the Alexandria database describes a crystal of CsHPd2 relaxed with PBEsol. The functional is SCAN.

Results
magnetization: 0.00 μB/cell
E_tot: -26.88 eV per atom
calculated volume: 17.85 Å³/atom

abc: 5.8674 5.8674 5.8674
angles: 60.00 60.00 60.00
Last column: nearest neighbours and their distance in Å.
Atoms (fractional coordinates):
1 Cs 0.2500 0.2500 0.2500  12 Pd 3.44, 4 Cs 3.59, 4 H 3.59
2 Cs 0.0000 0.0000 0.0000  12 Pd 3.44, 4 H 3.59, 4 Cs 3.59
3 Pd 0.6250 0.6250 0.1250  2 H 1.80
4 Pd 0.6250 0.1250 0.6250  2 H 1.80
5 H 0.7500 0.7500 0.7500  4 Pd 1.80
6 H 0.5000 0.5000 0.5000  4 Pd 1.80
7 Pd 0.6250 0.6250 0.6250  2 H 1.80
8 Pd 0.1250 0.6250 0.6250  2 H 1.80

---

2.
This record from the Alexandria database describes a crystal of CsH2Pd2 relaxed with PBEsol. The functional is SCAN.

Results
magnetization: 0.00 μB/cell
E_tot: -22.26 eV per atom
calculated volume: 17.26 Å³/atom

abc: 3.8146 3.8146 6.5159
angles: 107.02 107.02 90.00
Last column: nearest neighbours and their distance in Å.
Atoms (fractional coordinates):
1 Cs 0.0000 0.0000 0.0000  2 Pd 3.09
2 H 0.7500 0.2500 0.5000  4 Pd 1.91
3 H 0.2500 0.7500 0.5000  4 Pd 1.91
4 Pd 0.2607 0.2607 0.5214  4 H 1.91
5 Pd 0.7393 0.7393 0.4786  4 H 1.91